## CsP2PtO (PBE)

Data for crystalline CsP2PtO at its relaxed geometry.

It has space group P4/mmm (No. 123), with a = 4.502 Å, b = 4.502 Å, c = 7.036 Å, α = 90.00°, β = 90.00° and γ = 90.00°. The asymmetric unit holds Cs at (0.000, 0.000, 0.000), P at (0.000, 0.500, 0.500), Pt at (0.500, 0.500, 0.500) and O at (0.500, 0.500, 0.000).

The electronic total energy is -21.38 eV/f.u. For the magnetization, the calculation gives 1.26 μB per cell. For the volume, the calculation gives 28.53 A^3/atom. The calculation puts the density at 4.73 g/cm3. The value obtained for the raw formation energy is 259.4 meV/atom.

***

## CsPuP2O8 (PBE)

Data for crystalline CsPuP2O8 at its relaxed geometry.

It has space group R-3m (No. 166, hexagonal axes), with a = 5.5260 Å, b = 5.5260 Å, c = 26.8074 Å, α = 90.00°, β = 90.00° and γ = 120.00°. The asymmetric unit holds Cs at (0.0000, 0.0000, 0.0000), Pu at (0.0000, 0.0000, 0.5000), P at (0.0000, 0.0000, 0.2354), O at (0.0000, 0.0000, 0.2914) and O at (0.0295, 0.5148, 0.8802).

The electronic total energy is -94.52 eV/f.u. For the magnetization, the calculation gives 9.00 μB per cell. For the volume, the calculation gives 19.69 A^3/atom. The calculation puts the density at 3.98 g/cm3. The value obtained for the raw formation energy is -2403.7 meV/atom.

***

## CsPuP2O6 (PBE)

Data for crystalline CsPuP2O6 at its relaxed geometry.

It has space group C2/c (No. 15), with a = 8.969 Å, b = 10.744 Å, c = 9.375 Å, α = 90.00°, β = 115.66° and γ = 90.00°. The asymmetric unit holds Cs at (0.000, 0.202, 0.250), Pu at (0.000, 0.372, 0.750), P at (0.227, 0.089, 0.829), O at (0.123, 0.371, 0.007), O at (0.161, 0.216, 0.735) and O at (0.189, 0.486, 0.264).

The electronic total energy is -77.51 eV/f.u. For the magnetization, the calculation gives 11.91 μB per cell. For the volume, the calculation gives 20.36 A^3/atom. The calculation puts the density at 4.36 g/cm3. The value obtained for the raw formation energy is -2176.0 meV/atom.

***

## Cs3PuP2O8 (PBE)

Data for crystalline Cs3PuP2O8 at its relaxed geometry.

It has space group P-3m1 (No. 164), with a = 5.9418 Å, b = 5.9418 Å, c = 8.6986 Å, α = 90.00°, β = 90.00° and γ = 120.00°. The asymmetric unit holds Cs at (0.0000, 0.0000, 0.0000), Cs at (0.3333, 0.6667, 0.7673), Pu at (0.0000, 0.0000, 0.5000), P at (0.3333, 0.6667, 0.2862), O at (0.1897, 0.3794, 0.3470) and O at (0.3333, 0.6667, 0.1095).

The electronic total energy is -101.13 eV/f.u. For the magnetization, the calculation gives 5.00 μB per cell. For the volume, the calculation gives 19.00 A^3/atom. The calculation puts the density at 5.20 g/cm3. The value obtained for the raw formation energy is -2410.9 meV/atom.

***

## CsPuPO6 (PBE)

Data for crystalline CsPuPO6 at its relaxed geometry.

It has space group P312 (No. 149), with a = 5.1968 Å, b = 5.1968 Å, c = 6.7418 Å, α = 90.00°, β = 90.00° and γ = 120.00°. The asymmetric unit holds Cs at (0.0000, 0.0000, 0.0000), Pu at (0.3333, 0.6667, 0.5000), P at (0.6667, 0.3333, 0.5000) and O at (0.4043, 0.0517, 0.6485).

The electronic total energy is -68.96 eV/f.u. For the magnetization, the calculation gives 2.00 μB per cell. For the volume, the calculation gives 17.52 A^3/atom. The calculation puts the density at 5.31 g/cm3. The value obtained for the raw formation energy is -2068.8 meV/atom.

***

## Cs2PuPO6 (PBE)

Data for crystalline Cs2PuPO6 at its relaxed geometry.

It has space group I4/mmm (No. 139), with a = 5.658 Å, b = 5.658 Å, c = 11.444 Å, α = 90.00°, β = 90.00° and γ = 90.00°. The asymmetric unit holds Cs at (0.000, 0.500, 0.250), Pu at (0.000, 0.000, 0.000), P at (0.000, 0.000, 0.500), O at (0.000, 0.000, 0.164) and O at (0.204, 0.204, 0.500).

The electronic total energy is -71.70 eV/f.u. For the magnetization, the calculation gives 6.00 μB per cell. For the volume, the calculation gives 18.32 A^3/atom. The calculation puts the density at 5.77 g/cm3. The value obtained for the raw formation energy is -2050.2 meV/atom.

***

## CsRb2P2O6 (PBE)

Data for crystalline CsRb2P2O6 at its relaxed geometry.

It has space group C2/m (No. 12), with a = 10.790 Å, b = 7.013 Å, c = 7.076 Å, α = 90.00°, β = 114.54° and γ = 90.00°. The asymmetric unit holds Cs at (0.000, 0.000, 0.000), Rb at (0.188, 0.000, 0.633), P at (0.025, 0.500, 0.821), O at (0.048, 0.317, 0.285) and O at (0.179, 0.500, 0.925).

The electronic total energy is -65.05 eV/f.u. For the magnetization, the calculation gives 2.01 μB per cell. For the volume, the calculation gives 22.14 A^3/atom. The calculation puts the density at 3.15 g/cm3. The value obtained for the raw formation energy is -1971.6 meV/atom.

***

## Cs3RbP2O6 (PBE)

Data for crystalline Cs3RbP2O6 at its relaxed geometry.

It has space group P-3m1 (No. 164), with a = 6.5117 Å, b = 6.5117 Å, c = 7.9845 Å, α = 90.00°, β = 90.00° and γ = 120.00°. The asymmetric unit holds Cs at (0.0000, 0.0000, 0.0000), Cs at (0.3333, 0.6667, 0.6906), Rb at (0.0000, 0.0000, 0.5000), P at (0.3333, 0.6667, 0.2252) and O at (0.2007, 0.4015, 0.2774).

The electronic total energy is -67.37 eV/f.u. For the magnetization, the calculation gives 2.00 μB per cell. For the volume, the calculation gives 24.43 A^3/atom. The calculation puts the density at 3.64 g/cm3. The value obtained for the raw formation energy is -1939.5 meV/atom.

***

## Cs2Rb2PO4 (PBE)

Data for crystalline Cs2Rb2PO4 at its relaxed geometry.

It has space group I4/mmm (No. 139), with a = 6.716 Å, b = 6.716 Å, c = 8.946 Å, α = 90.00°, β = 90.00° and γ = 90.00°. The asymmetric unit holds Cs at (0.000, 0.500, 0.250), Rb at (0.000, 0.000, 0.166), P at (0.000, 0.000, 0.500) and O at (0.180, 0.180, 0.500).

The electronic total energy is -38.57 eV/f.u. For the magnetization, the calculation gives 1.47 μB per cell. For the volume, the calculation gives 22.41 A^3/atom. The calculation puts the density at 4.38 g/cm3. The value obtained for the raw formation energy is -1076.4 meV/atom.

***

## CsRbP2O (PBE)

Data for crystalline CsRbP2O at its relaxed geometry.

It has space group P4/mmm (No. 123), with a = 5.947 Å, b = 5.947 Å, c = 4.736 Å, α = 90.00°, β = 90.00° and γ = 90.00°. The asymmetric unit holds Cs at (0.000, 0.000, 0.000), Rb at (0.500, 0.500, 0.500), P at (0.000, 0.500, 0.000) and O at (0.000, 0.000, 0.500).

The electronic total energy is -12.96 eV/f.u. For the magnetization, the calculation gives 2.79 μB per cell. For the volume, the calculation gives 33.49 A^3/atom. The calculation puts the density at 2.94 g/cm3. The value obtained for the raw formation energy is 928.5 meV/atom.

***

## CsRbPO3 (PBE)

Data for crystalline CsRbPO3 at its relaxed geometry.

It has space group P6_3/mmc (No. 194), with a = 6.5048 Å, b = 6.5048 Å, c = 8.3533 Å, α = 90.00°, β = 90.00° and γ = 120.00°. The asymmetric unit holds Cs at (0.3333, 0.6667, 0.2500), Rb at (0.0000, 0.0000, 0.0000), P at (0.3333, 0.6667, 0.7500) and O at (0.1976, 0.3952, 0.7500).

The electronic total energy is -32.82 eV/f.u. For the magnetization, the calculation gives 0.91 μB per cell. For the volume, the calculation gives 25.51 A^3/atom. The calculation puts the density at 3.23 g/cm3. The value obtained for the raw formation energy is -1786.1 meV/atom.

***

## CsRbZnPO (PBE)

Data for crystalline CsRbZnPO at its relaxed geometry.

It has space group Cm (No. 8), with a = 13.558 Å, b = 5.630 Å, c = 4.119 Å, α = 90.00°, β = 107.55° and γ = 90.00°. The asymmetric unit holds Cs at (0.000, 0.000, 0.000), Rb at (0.192, 0.500, 0.197), Zn at (0.316, 0.000, 0.820), P at (0.403, 0.000, 0.407) and O at (0.029, 0.500, 0.533).

The electronic total energy is -16.95 eV/f.u. For the magnetization, the calculation gives 0.00 μB per cell. For the volume, the calculation gives 29.98 A^3/atom. The calculation puts the density at 3.66 g/cm3. The value obtained for the raw formation energy is -698.1 meV/atom.